# Y2RhPb | Alexandria | PBEsol | relaxed
# * mass density: 8.7 g cm⁻³
# * formation energy from the elements: -2.70 eV per formula unit
# * density of states at the Fermi level: 2.287 states/eV/cell
data_Y2RhPb
_chemical_formula_sum 'Y2 Rh1 Pb1'
_symmetry_space_group_name_H-M 'P 4/m m m'
_symmetry_Int_Tables_number 123
_symmetry_space_group_name_Hall '-P 4 2'
_cell_length_a 3.4154
_cell_length_b 3.4154
_cell_length_c 7.9502
_cell_angle_alpha 90.00
_cell_angle_beta 90.00
_cell_angle_gamma 90.00
loop_
_atom_site_label
_atom_site_fract_x
_atom_site_fract_y
_atom_site_fract_z
_atom_site_occupancy
Y1 0.0000 0.0000 0.2093 1
Rh1 0.5000 0.5000 0.0000 1
Pb1 0.5000 0.5000 0.5000 1

# ZnRhPb2 | Alexandria | PBEsol | relaxed
# * mass density: 11.6 g cm⁻³
# * formation energy from the elements: 0.53 eV per formula unit
# * density of states at the Fermi level: 2.013 states/eV/cell
data_ZnRhPb2
_chemical_formula_sum 'Zn1 Rh1 Pb2'
_symmetry_space_group_name_H-M 'P 4/m m m'
_symmetry_Int_Tables_number 123
_symmetry_space_group_name_Hall '-P 4 2'
_cell_length_a 3.2979
_cell_length_b 3.2979
_cell_length_c 7.6690
_cell_angle_alpha 90.00
_cell_angle_beta 90.00
_cell_angle_gamma 90.00
loop_
_atom_site_label
_atom_site_fract_x
_atom_site_fract_y
_atom_site_fract_z
_atom_site_occupancy
Zn1 0.0000 0.0000 0.0000 1
Rh1 0.0000 0.0000 0.5000 1
Pb1 0.5000 0.5000 0.2788 1

# Zn3RhPb | Alexandria | PBEsol | relaxed
# * mass density: 6.9 g cm⁻³
# * formation energy from the elements: 7.00 eV per formula unit
# * density of states at the Fermi level: 6.876 states/eV/cell
data_Zn3RhPb
_chemical_formula_sum 'Zn3 Rh1 Pb1'
_symmetry_space_group_name_H-M 'P m -3 m'
_symmetry_Int_Tables_number 221
_symmetry_space_group_name_Hall '-P 4 2 3'
_cell_length_a 4.9511
_cell_length_b 4.9511
_cell_length_c 4.9511
_cell_angle_alpha 90.00
_cell_angle_beta 90.00
_cell_angle_gamma 90.00
loop_
_atom_site_label
_atom_site_fract_x
_atom_site_fract_y
_atom_site_fract_z
_atom_site_occupancy
Zn1 0.0000 0.0000 0.5000 1
Rh1 0.5000 0.5000 0.5000 1
Pb1 0.0000 0.0000 0.0000 1

# ZrRhPb2 | Alexandria | PBEsol | relaxed
# * mass density: 11.7 g cm⁻³
# * formation energy from the elements: -0.41 eV per formula unit
# * density of states at the Fermi level: 5.272 states/eV/cell
data_ZrRhPb2
_chemical_formula_sum 'Zr2 Rh2 Pb4'
_symmetry_space_group_name_H-M 'C 1 m 1'
_symmetry_Int_Tables_number 8
_symmetry_space_group_name_Hall 'C -2y'
_cell_length_a 10.9187
_cell_length_b 3.3120
_cell_length_c 5.2360
_cell_angle_alpha 90.00
_cell_angle_beta 113.98
_cell_angle_gamma 90.00
loop_
_atom_site_label
_atom_site_fract_x
_atom_site_fract_y
_atom_site_fract_z
_atom_site_occupancy
Zr1 0.0000 0.0000 0.0000 1
Rh1 0.1884 0.5000 0.3115 1
Pb1 0.2209 0.0000 0.7975 1
Pb2 0.4346 0.0000 0.4444 1

# Zr3RhPb | Alexandria | PBEsol | relaxed
# * mass density: 6.8 g cm⁻³
# * formation energy from the elements: 7.80 eV per formula unit
# * density of states at the Fermi level: 11.731 states/eV/cell
data_Zr3RhPb
_chemical_formula_sum 'Zr3 Rh1 Pb1'
_symmetry_space_group_name_H-M 'P m -3 m'
_symmetry_Int_Tables_number 221
_symmetry_space_group_name_Hall '-P 4 2 3'
_cell_length_a 5.2144
_cell_length_b 5.2144
_cell_length_c 5.2144
_cell_angle_alpha 90.00
_cell_angle_beta 90.00
_cell_angle_gamma 90.00
loop_
_atom_site_label
_atom_site_fract_x
_atom_site_fract_y
_atom_site_fract_z
_atom_site_occupancy
Zr1 0.0000 0.0000 0.5000 1
Rh1 0.5000 0.5000 0.5000 1
Pb1 0.0000 0.0000 0.0000 1

# ZrRhPb2 | Alexandria | PBEsol | relaxed
# * mass density: 12.3 g cm⁻³
# * formation energy from the elements: -0.23 eV per formula unit
# * density of states at the Fermi level: 2.775 states/eV/cell
data_ZrRhPb2
_chemical_formula_sum 'Zr1 Rh1 Pb2'
_symmetry_space_group_name_H-M 'P 4/m m m'
_symmetry_Int_Tables_number 123
_symmetry_space_group_name_Hall '-P 4 2'
_cell_length_a 4.5010
_cell_length_b 4.5010
_cell_length_c 4.0488
_cell_angle_alpha 90.00
_cell_angle_beta 90.00
_cell_angle_gamma 90.00
loop_
_atom_site_label
_atom_site_fract_x
_atom_site_fract_y
_atom_site_fract_z
_atom_site_occupancy
Zr1 0.0000 0.0000 0.0000 1
Rh1 0.5000 0.5000 0.0000 1
Pb1 0.0000 0.5000 0.5000 1

# ZrRh2Pb | Alexandria | PBEsol | relaxed
# * mass density: 11.8 g cm⁻³
# * formation energy from the elements: -1.73 eV per formula unit
# * density of states at the Fermi level: 2.765 states/eV/cell
data_ZrRh2Pb
_chemical_formula_sum 'Zr1 Rh2 Pb1'
_symmetry_space_group_name_H-M 'P 4/m m m'
_symmetry_Int_Tables_number 123
_symmetry_space_group_name_Hall '-P 4 2'
_cell_length_a 3.3916
_cell_length_b 3.3916
_cell_length_c 6.1703
_cell_angle_alpha 90.00
_cell_angle_beta 90.00
_cell_angle_gamma 90.00
loop_
_atom_site_label
_atom_site_fract_x
_atom_site_fract_y
_atom_site_fract_z
_atom_site_occupancy
Zr1 0.0000 0.0000 0.0000 1
Rh1 0.5000 0.5000 0.2336 1
Pb1 0.0000 0.0000 0.5000 1

# ZrRhPb | Alexandria | PBEsol | relaxed
# * mass density: 11.3 g cm⁻³
# * formation energy from the elements: -0.95 eV per formula unit
# * density of states at the Fermi level: 5.962 states/eV/cell
data_ZrRhPb
_chemical_formula_sum 'Zr2 Rh2 Pb2'
_symmetry_space_group_name_H-M 'I 4 m m'
_symmetry_Int_Tables_number 107
_symmetry_space_group_name_Hall 'I 4 -2'
_cell_length_a 3.2465
_cell_length_b 3.2465
_cell_length_c 11.1425
_cell_angle_alpha 90.00
_cell_angle_beta 90.00
_cell_angle_gamma 90.00
loop_
_atom_site_label
_atom_site_fract_x
_atom_site_fract_y
_atom_site_fract_z
_atom_site_occupancy
Zr1 0.0000 0.0000 0.0000 1
Rh1 0.0000 0.0000 0.3663 1
Pb1 0.0000 0.0000 0.6994 1

# RuPb | Alexandria | PBEsol | relaxed
# * mass density: 13.8 g cm⁻³
# * formation energy from the elements: 1.28 eV per formula unit
# * density of states at the Fermi level: 4.013 states/eV/cell
data_RuPb
_chemical_formula_sum 'Ru2 Pb2'
_symmetry_space_group_name_H-M 'P 63/m m c'
_symmetry_Int_Tables_number 194
_symmetry_space_group_name_Hall '-P 6c 2c'
_cell_length_a 3.2292
_cell_length_b 3.2292
_cell_length_c 8.2145
_cell_angle_alpha 90.00
_cell_angle_beta 90.00
_cell_angle_gamma 120.00
loop_
_atom_site_label
_atom_site_fract_x
_atom_site_fract_y
_atom_site_fract_z
_atom_site_occupancy
Ru1 0.3333 0.6667 0.2500 1
Pb1 0.0000 0.0000 0.0000 1

# RuPb | Alexandria | PBEsol | relaxed
# * mass density: 13.8 g cm⁻³
# * formation energy from the elements: 1.50 eV per formula unit
# * density of states at the Fermi level: 12.518 states/eV/cell
data_RuPb
_chemical_formula_sum 'Ru4 Pb4'
_symmetry_space_group_name_H-M 'I 41/a m d'
_symmetry_Int_Tables_number 141
_cell_length_a 3.8759
_cell_length_b 3.8759
_cell_length_c 9.8869
_cell_angle_alpha 90.00
_cell_angle_beta 90.00
_cell_angle_gamma 90.00
loop_
_symmetry_equiv_pos_as_xyz
'x,y,z'
'-x,-y,-z'
'-y+1/4,x+3/4,z+1/4'
'y+1/4,-x+3/4,-z+1/4'
'-x+1/2,-y,z+1/2'
'x+1/2,y,-z+1/2'
'y+1/4,-x+1/4,z+3/4'
'-y+1/4,x+1/4,-z+3/4'
'x,-y,-z'
'-x,y,z'
'-y+1/4,-x+1/4,-z+3/4'
'y+1/4,x+1/4,z+3/4'
'-x+1/2,y,-z+1/2'
'x+1/2,-y,z+1/2'
'y+1/4,x+3/4,-z+1/4'
'-y+1/4,-x+3/4,z+1/4'
'x+1/2,y+1/2,z+1/2'
'-x+1/2,-y+1/2,-z+1/2'
'-y+3/4,x+1/4,z+3/4'
'y+3/4,-x+1/4,-z+3/4'
'-x,-y+1/2,z'
'x,y+1/2,-z'
'y+3/4,-x+3/4,z+1/4'
'-y+3/4,x+3/4,-z+1/4'
'x+1/2,-y+1/2,-z+1/2'
'-x+1/2,y+1/2,z+1/2'
'-y+3/4,-x+3/4,-z+1/4'
'y+3/4,x+3/4,z+1/4'
'-x,y+1/2,-z'
'x,-y+1/2,z'
'y+3/4,x+1/4,-z+3/4'
'-y+3/4,-x+1/4,z+3/4'
loop_
_atom_site_label
_atom_site_fract_x
_atom_site_fract_y
_atom_site_fract_z
_atom_site_occupancy
Ru1 0.0000 0.2500 0.3750 1
Pb1 0.0000 0.2500 0.8750 1

# Ru3Pb | Alexandria | PBEsol | relaxed
# * mass density: 13.6 g cm⁻³
# * formation energy from the elements: 2.11 eV per formula unit
# * density of states at the Fermi level: 3.652 states/eV/cell
data_Ru3Pb
_chemical_formula_sum 'Ru3 Pb1'
_symmetry_space_group_name_H-M 'P 4/m m m'
_symmetry_Int_Tables_number 123
_symmetry_space_group_name_Hall '-P 4 2'
_cell_length_a 2.8825
_cell_length_b 2.8825
_cell_length_c 7.4898
_cell_angle_alpha 90.00
_cell_angle_beta 90.00
_cell_angle_gamma 90.00
loop_
_atom_site_label
_atom_site_fract_x
_atom_site_fract_y
_atom_site_fract_z
_atom_site_occupancy
Ru1 0.0000 0.0000 0.0000 1
Ru2 0.5000 0.5000 0.2249 1
Pb1 0.0000 0.0000 0.5000 1

# Ru3Pb | Alexandria | PBEsol | relaxed
# * mass density: 13.5 g cm⁻³
# * formation energy from the elements: 3.41 eV per formula unit
# * density of states at the Fermi level: 20.059 states/eV/cell
data_Ru3Pb
_chemical_formula_sum 'Ru9 Pb3'
_symmetry_space_group_name_H-M 'R -3 m'
_symmetry_Int_Tables_number 166
_symmetry_space_group_name_Hall '-R 3 2"'
_cell_length_a 8.7276
_cell_length_b 8.7276
_cell_length_c 2.8645
_cell_angle_alpha 90.00
_cell_angle_beta 90.00
_cell_angle_gamma 120.00
loop_
_atom_site_label
_atom_site_fract_x
_atom_site_fract_y
_atom_site_fract_z
_atom_site_occupancy
Ru1 0.0000 0.5000 0.0000 1
Pb1 0.0000 0.0000 0.0000 1